Version one
Dy5NiTe2 | GGA-PBE | optimized geometry

It has space group Cmcm (No. 63), with a = 5.867 Å, b = 11.709 Å, c = 14.028 Å, α = 90.00°, β = 90.00° and γ = 90.00°. The inequivalent atoms are Dy at (0.000, 0.064, 0.124), Dy at (0.000, 0.326, 0.750), Dy at (0.000, 0.379, 0.114), Ni at (0.000, 0.223, 0.250) and Te at (0.000, 0.193, 0.564).

The value obtained for the density of states at the Fermi level is 32.27 states/eV/cell. The calculation puts the total magnetization at 0.0 μB per formula unit.

Version two
Dy5NiTe2 | GGA-PBE | optimized geometry

It has space group Pbam (No. 55), with a = 8.195 Å, b = 13.163 Å, c = 4.013 Å, α = 90.00°, β = 90.00° and γ = 90.00°. The inequivalent atoms are Dy at (0.000, 0.000, 0.000), Dy at (0.166, 0.318, 0.000), Dy at (0.167, 0.584, 0.500), Ni at (0.000, 0.500, 0.000) and Te at (0.037, 0.818, 0.500).

The value obtained for the density of states at the Fermi level is 17.23 states/eV/cell. The calculation puts the total magnetization at 0.0 μB per formula unit.

Which structure is the most stable? The one labeled version two.

Version one
Dy2NiTe | GGA-PBE | optimized geometry

It has space group R3m (No. 160, hexagonal axes), with a = 4.0933 Å, b = 4.0933 Å, c = 21.3915 Å, α = 90.00°, β = 90.00° and γ = 120.00°. The inequivalent atoms are Dy at (0.0000, 0.0000, 0.0000), Dy at (0.0000, 0.0000, 0.1983), Ni at (0.0000, 0.0000, 0.6008) and Te at (0.0000, 0.0000, 0.7657).

The value obtained for the density of states at the Fermi level is 3.42 states/eV/cell. The calculation puts the total magnetization at 0.0 μB per formula unit.

Version two
Dy2NiTe | GGA-PBE | optimized geometry

It has space group R-3m (No. 166, hexagonal axes), with a = 4.0394 Å, b = 4.0394 Å, c = 21.7925 Å, α = 90.00°, β = 90.00° and γ = 120.00°. The inequivalent atoms are Dy at (0.0000, 0.0000, 0.2356), Ni at (0.0000, 0.0000, 0.5000) and Te at (0.0000, 0.0000, 0.0000).

The value obtained for the density of states at the Fermi level is 6.21 states/eV/cell. The calculation puts the total magnetization at 0.0 μB per formula unit.

Version three
Dy2NiTe | GGA-PBE | optimized geometry

It has space group Cmcm (No. 63), with a = 4.028 Å, b = 22.502 Å, c = 4.369 Å, α = 90.00°, β = 90.00° and γ = 90.00°. The inequivalent atoms are Dy at (0.000, 0.056, 0.250), Dy at (0.000, 0.343, 0.250), Ni at (0.000, 0.468, 0.250) and Te at (0.000, 0.195, 0.250).

The value obtained for the density of states at the Fermi level is 13.99 states/eV/cell. The calculation puts the total magnetization at 0.0 μB per formula unit.

Which structure is the most stable? The one labeled version three.

Version one
DyThNi | GGA-PBE | optimized geometry

It has space group P3m1 (No. 156), with a = 3.7602 Å, b = 3.7602 Å, c = 6.3974 Å, α = 90.00°, β = 90.00° and γ = 120.00°. The inequivalent atoms are Dy at (0.0000, 0.0000, 0.0000), Th at (0.6667, 0.3333, 0.4654) and Ni at (0.3333, 0.6667, 0.7277).

The value obtained for the density of states at the Fermi level is 3.18 states/eV/cell. The calculation puts the total magnetization at 0.0 μB per formula unit.

Version two
DyThNi | GGA-PBE | optimized geometry

It has space group I4mm (No. 107), with a = 3.506 Å, b = 3.506 Å, c = 11.916 Å, α = 90.00°, β = 90.00° and γ = 90.00°. The inequivalent atoms are Dy at (0.000, 0.000, 0.000), Th at (0.000, 0.000, 0.279) and Ni at (0.000, 0.000, 0.651).

The value obtained for the density of states at the Fermi level is 7.35 states/eV/cell. The calculation puts the total magnetization at 0.0 μB per formula unit.

Version three
DyThNi | GGA-PBE | optimized geometry

It has space group F-43m (No. 216), with a = 6.795 Å, b = 6.795 Å, c = 6.795 Å, α = 90.00°, β = 90.00° and γ = 90.00°. The inequivalent atoms are Dy at (0.000, 0.000, 0.000), Th at (0.000, 0.000, 0.500) and Ni at (0.250, 0.250, 0.250).

The value obtained for the density of states at the Fermi level is 16.72 states/eV/cell. The calculation puts the total magnetization at 0.0 μB per formula unit.

Version four
DyThNi | GGA-PBE | optimized geometry

It has space group Pca2_1 (No. 29), with a = 5.992 Å, b = 10.237 Å, c = 4.923 Å, α = 90.00°, β = 90.00° and γ = 90.00°. The inequivalent atoms are Dy at (0.081, 0.115, 0.000), Th at (0.003, 0.618, 0.999) and Ni at (0.136, 0.852, 0.000).

The value obtained for the density of states at the Fermi level is 13.14 states/eV/cell. The calculation puts the total magnetization at 0.0 μB per formula unit.

Which structure is the most stable? The one labeled version two.